# 1
This record from the Alexandria database describes a relaxed structure of YHgGe3. The functional is GGA-PBE.

Properties
Calculated formation energy ... 0.66 eV per atom

Cell lengths 5.4998, 5.4998, 5.4998 Å; angles 90.00, 90.00, 90.00 degrees
Fractional coordinates of all 5 atoms:
Y  0.0000  0.0000  0.0000
Hg  0.5000  0.5000  0.5000
Ge  0.0000  0.0000  0.5000
Ge  0.0000  0.5000  0.0000
Ge  0.5000  0.0000  0.0000



# 2
This record from the Alexandria database describes a relaxed structure of Y3Ir. The functional is GGA-PBE.

Properties
Calculated formation energy ... -0.40 eV per atom

Cell lengths 3.7433, 6.6871, 9.1334 Å; angles 90.00, 90.00, 90.00 degrees
Fractional coordinates of all 8 atoms:
Y  0.2500  0.0058  0.1694
Y  0.2500  0.2500  0.5447
Y  0.2500  0.4942  0.1694
Y  0.7500  0.5058  0.8306
Y  0.7500  0.7500  0.4553
Y  0.7500  0.9942  0.8306
Ir  0.2500  0.7500  0.6816
Ir  0.7500  0.2500  0.3184